A plane-wave DFT calculation with PBE-GGA was carried out for a geometry-optimized HfZrCd structure.

Values from the calculation:
* electronic total energy: -18.7 eV/cell
* polymorph energy (0 for the lowest one): 96 kJ/mol of formula units
* formation energy from the elements: 0.24 eV per atom
* D(E_F): 4.02 states/eV/cell

Cell: 2.902 5.121 5.121 Å, 120.00 90.00 90.00°
Element x y z (fractional)
Cd: 0.667 0.333 0.667
Hf: 0.165 0.667 0.333
Zr: 0.168 0.000 0.000

---

A plane-wave DFT calculation with PBE-GGA was carried out for a geometry-optimized Pm8Ni2Au structure.

Values from the calculation:
* electronic total energy: -55.6 eV/cell
* polymorph energy (0 for the lowest one): 0 kJ/mol of formula units
* formation energy from the elements: -0.25 eV per atom
* D(E_F): 10.53 states/eV/cell

Cell: 5.197 6.769 9.498 Å, 107.48 105.88 90.00°
Element x y z (fractional)
Ni: 0.828 0.260 0.655
Ni: 0.172 0.740 0.345
Pm: 0.406 0.523 0.812
Pm: 0.679 0.009 0.359
Pm: 0.966 0.214 0.933
Pm: 0.801 0.647 0.602
Pm: 0.321 0.991 0.641
Pm: 0.034 0.786 0.067
Pm: 0.199 0.353 0.398
Pm: 0.594 0.477 0.188
Au: 0.500 0.000 0.000